CrCd2In | Alexandria | GGA-PBE | optimized geometry; DFT total energy = -2.79 eV/atom; spin magnetization = 0.00 μB/cell; crystal system = tetragonal; DOS at the Fermi energy = 7.073 states/eV/f.u.; energy relative to the elements = 3.0 eV per formula unit
1.0
-1.171 5.873 -4.967
4.095 -3.777 -5.431
-0.885 -0.189 -6.108
In Cd Cr
2 4 2
direct
0.750 0.250 0.500
0.000 0.000 0.000
0.375 0.399 0.750
0.149 0.625 0.250
0.875 0.851 0.750
0.601 0.125 0.250
0.500 0.500 0.000
0.250 0.750 0.500